i) DyY3Co | PBE | relaxed

abc: 7.157 7.157 8.150
angles: 124.60 124.60 71.53
Atoms (fractional coordinates):
Dy: 0.047 0.047 0.341
Dy: 0.953 0.953 0.659
Y: 0.046 0.451 0.205
Y: 0.451 0.046 0.205
Y: 0.452 0.452 0.746
Y: 0.548 0.548 0.254
Y: 0.549 0.954 0.795
Y: 0.954 0.549 0.795
Co: 0.248 0.248 0.872
Co: 0.752 0.752 0.128

Properties
Total magnetic moment   1.0 μB per cell
Volume   283 Å³/cell
Crystal system   monoclinic
Space-group type   C2/m

=====

ii) DyY3Co | PBE | relaxed

abc: 5.293 5.293 5.293
angles: 90.00 90.00 90.00
Atoms (fractional coordinates):
Dy: 0.000 0.000 0.000
Y: 0.000 0.500 0.500
Y: 0.500 0.000 0.500
Y: 0.500 0.500 0.000
Co: 0.500 0.500 0.500

Properties
Total magnetic moment   0.0 μB per cell
Volume   148 Å³/cell
Crystal system   cubic
Space-group type   Pm-3m

=====

Quick one: most stable of them? i)

=====

i) DyZrCo | PBE | relaxed

abc: 6.858 6.858 6.858
angles: 150.81 124.95 63.52
Atoms (fractional coordinates):
Dy: 0.214 0.214 0.000
Dy: 0.786 0.786 0.000
Zr: 0.255 0.500 0.755
Zr: 0.745 0.500 0.245
Co: 0.391 0.891 0.500
Co: 0.609 0.109 0.500

Properties
Total magnetic moment   0.0 μB per cell
Volume   128 Å³/cell
Crystal system   orthorhombic
Space-group type   Immm

=====

ii) DyZrCo | PBE | relaxed

abc: 6.471 5.837 8.985
angles: 90.00 127.22 90.00
Atoms (fractional coordinates):
Dy: 0.187 0.134 0.391
Dy: 0.187 0.366 0.891
Dy: 0.813 0.634 0.109
Dy: 0.813 0.866 0.609
Zr: 0.329 0.626 0.628
Zr: 0.329 0.874 0.128
Zr: 0.671 0.126 0.872
Zr: 0.671 0.374 0.372
Co: 0.338 0.642 0.357
Co: 0.338 0.858 0.857
Co: 0.662 0.142 0.143
Co: 0.662 0.358 0.643

Properties
Total magnetic moment   0.0 μB per cell
Volume   270 Å³/cell
Crystal system   monoclinic
Space-group type   P2_1/c

=====

iii) DyZrCo | PBE | relaxed

abc: 6.195 6.195 6.195
angles: 149.10 149.10 44.27
Atoms (fractional coordinates):
Dy: 0.000 0.000 0.000
Zr: 0.282 0.282 0.000
Co: 0.664 0.664 0.000

Properties
Total magnetic moment   1.6 μB per cell
Volume   63 Å³/cell
Crystal system   tetragonal
Space-group type   I4mm

=====

Quick one: most stable of them? i)

=====

i) Dy2ZrCo | PBE | relaxed

abc: 3.378 3.378 8.016
angles: 90.00 90.00 90.00
Atoms (fractional coordinates):
Dy: 0.000 0.000 0.204
Dy: 0.000 0.000 0.796
Zr: 0.500 0.500 0.500
Co: 0.500 0.500 0.000

Properties
Total magnetic moment   0.7 μB per cell
Volume   91 Å³/cell
Crystal system   tetragonal
Space-group type   P4/mmm

=====

ii) Dy2ZrCo | PBE | relaxed

abc: 10.298 10.298 10.298
angles: 18.62 18.62 18.62
Atoms (fractional coordinates):
Dy: 0.106 0.106 0.106
Dy: 0.894 0.894 0.894
Zr: 0.000 0.000 0.000
Co: 0.500 0.500 0.500

Properties
Total magnetic moment   0.0 μB per cell
Volume   97 Å³/cell
Crystal system   trigonal
Space-group type   R-3m

=====

Quick one: most stable of them? i)

=====

i) DyZr2Co | PBE | relaxed

abc: 3.431 9.076 5.823
angles: 90.00 107.12 90.00
Atoms (fractional coordinates):
Dy: 0.077 0.250 0.156
Dy: 0.923 0.750 0.844
Zr: 0.359 0.064 0.717
Zr: 0.359 0.436 0.717
Zr: 0.641 0.564 0.283
Zr: 0.641 0.936 0.283
Co: 0.219 0.750 0.437
Co: 0.781 0.250 0.563

Properties
Total magnetic moment   0.0 μB per cell
Volume   173 Å³/cell
Crystal system   monoclinic
Space-group type   P2_1/m

=====

ii) DyZr2Co | PBE | relaxed

abc: 4.857 4.857 4.857
angles: 60.00 60.00 60.00
Atoms (fractional coordinates):
Dy: 0.000 0.000 0.000
Zr: 0.250 0.250 0.250
Zr: 0.750 0.750 0.750
Co: 0.500 0.500 0.500

Properties
Total magnetic moment   1.0 μB per cell
Volume   81 Å³/cell
Crystal system   cubic
Space-group type   Fm-3m

=====

Quick one: most stable of them? i)

=====

i) DyZr2Co | PBE | relaxed

abc: 6.834 6.834 6.834
angles: 34.76 34.76 34.76
Atoms (fractional coordinates):
Dy: 0.000 0.000 0.000
Zr: 0.556 0.556 0.556
Zr: 0.784 0.784 0.784
Co: 0.175 0.175 0.175

Properties
Total magnetic moment   0.0 μB per cell
Volume   93 Å³/cell
Crystal system   trigonal
Space-group type   R3m

=====

ii) DyZr2Co | PBE | relaxed

abc: 3.263 3.263 7.979
angles: 90.00 90.00 90.00
Atoms (fractional coordinates):
Dy: 0.000 0.000 0.000
Zr: 0.500 0.500 0.305
Zr: 0.500 0.500 0.695
Co: 0.000 0.000 0.500

Properties
Total magnetic moment   1.4 μB per cell
Volume   85 Å³/cell
Crystal system   tetragonal
Space-group type   P4/mmm

=====

Quick one: most stable of them? ii)

=====

i) Er4Co | PBE | relaxed

abc: 7.296 7.109 8.829
angles: 53.16 51.25 75.59
Atoms (fractional coordinates):
Er: 0.042 0.466 0.794
Er: 0.049 0.951 0.286
Er: 0.456 0.552 0.208
Er: 0.466 0.042 0.698
Er: 0.536 0.964 0.299
Er: 0.552 0.456 0.784
Er: 0.951 0.049 0.714
Er: 0.964 0.536 0.201
Co: 0.508 0.508 0.492
Co: 0.758 0.758 0.742

Properties
Total magnetic moment   0.0 μB per cell
Volume   280 Å³/cell
Crystal system   orthorhombic
Space-group type   Fdd2

=====

ii) Er4Co | PBE | relaxed

abc: 7.392 7.392 7.392
angles: 60.00 60.00 60.00
Atoms (fractional coordinates):
Er: 0.217 0.761 0.761
Er: 0.239 0.239 0.239
Er: 0.239 0.239 0.783
Er: 0.239 0.783 0.239
Er: 0.761 0.217 0.761
Er: 0.761 0.761 0.217
Er: 0.761 0.761 0.761
Er: 0.783 0.239 0.239
Co: 0.375 0.375 0.375
Co: 0.625 0.625 0.625

Properties
Total magnetic moment   0.0 μB per cell
Volume   286 Å³/cell
Crystal system   cubic
Space-group type   Fd-3m

=====

Quick one: most stable of them? i)